Entry 1:
Entry from the Alexandria database: a relaxed SrCaSb2 crystal (PBEsol).

Properties
calculated volume = 119.9 Å³ per cell
theoretical density = 5141 kg/m3
polymorph energy (0 for the lowest one) = 70.9 meV per atom
uncorrected formation energy = -0.801 eV per atom
M_tot = 0.000 μB/atom

```
data_SrCaSb2
_space_group_name_H-M_alt 'P 1'
_space_group_IT_number 1
_cell_length_a 5.535
_cell_length_b 5.535
_cell_length_c 5.535
_cell_angle_alpha 60.00
_cell_angle_beta 60.00
_cell_angle_gamma 60.00
loop_
_space_group_symop_operation_xyz
'x,y,z'
loop_
_atom_site_label
_atom_site_fract_x
_atom_site_fract_y
_atom_site_fract_z
_atom_site_occupancy
Sb1 0.250 0.250 0.250 1
Sb2 0.750 0.750 0.750 1
Ca1 0.000 0.000 0.000 1
Sr1 0.500 0.500 0.500 1
```

---

Entry 2:
Entry from the Alexandria database: a relaxed LiCoIr2 crystal (PBEsol).

Properties
energy of formation = 0.1340 eV per atom
calculated volume = 49.5 Å³ per cell
theoretical density = 15095 kg/m3
polymorph energy (0 for the lowest one) = 110.6 meV per atom
M_tot = 0.299 μB/atom

```
data_LiCoIr2
_space_group_name_H-M_alt 'P 1'
_space_group_IT_number 1
_cell_length_a 2.715
_cell_length_b 2.715
_cell_length_c 6.722
_cell_angle_alpha 90.00
_cell_angle_beta 90.00
_cell_angle_gamma 90.00
loop_
_space_group_symop_operation_xyz
'x,y,z'
loop_
_atom_site_label
_atom_site_fract_x
_atom_site_fract_y
_atom_site_fract_z
_atom_site_occupancy
Co1 0.500 0.500 0.742 1
Ir1 0.000 0.000 0.984 1
Ir2 0.500 0.500 0.260 1
Li1 0.000 0.000 0.514 1
```

---

Entry 3:
Entry from the Alexandria database: a relaxed TaHg2Cl crystal (PBEsol).

Properties
calculated volume = 77.3 Å³ per cell
theoretical density = 13259 kg/m3
polymorph energy (0 for the lowest one) = 547.5 meV per atom
uncorrected formation energy = 0.608 eV per atom
M_tot = 0.000 μB/atom

```
data_TaHg2Cl
_space_group_name_H-M_alt 'P 1'
_space_group_IT_number 1
_cell_length_a 3.924
_cell_length_b 3.924
_cell_length_c 5.739
_cell_angle_alpha 109.99
_cell_angle_beta 109.99
_cell_angle_gamma 90.00
loop_
_space_group_symop_operation_xyz
'x,y,z'
loop_
_atom_site_label
_atom_site_fract_x
_atom_site_fract_y
_atom_site_fract_z
_atom_site_occupancy
Cl1 0.000 0.000 0.000 1
Hg1 0.750 0.250 0.500 1
Hg2 0.250 0.750 0.500 1
Ta1 0.500 0.500 0.000 1
```

---

Entry 4:
Entry from the Alexandria database: a relaxed WO2F crystal (PBEsol).

Properties
calculated volume = 115.8 Å³ per cell
theoretical density = 6733 kg/m3
polymorph energy (0 for the lowest one) = 0.0 meV per atom
uncorrected formation energy = -2.285 eV per atom
M_tot = 0.000 μB/atom

```
data_WO2F
_space_group_name_H-M_alt 'P 1'
_space_group_IT_number 1
_cell_length_a 5.439
_cell_length_b 5.439
_cell_length_c 5.440
_cell_angle_alpha 92.13
_cell_angle_beta 118.89
_cell_angle_gamma 118.67
loop_
_space_group_symop_operation_xyz
'x,y,z'
loop_
_atom_site_label
_atom_site_fract_x
_atom_site_fract_y
_atom_site_fract_z
_atom_site_occupancy
O1 0.065 0.033 0.597 1
O2 0.564 0.032 0.596 1
O3 0.064 0.532 0.097 1
O4 0.065 0.032 0.096 1
W1 0.036 0.254 0.847 1
W2 0.092 0.810 0.347 1
F1 0.064 0.532 0.597 1
F2 0.564 0.533 0.097 1
```

---

Entry 5:
Entry from the Alexandria database: a relaxed SrReSiOs2 crystal (PBEsol).

Properties
calculated volume = 95.8 Å³ per cell
theoretical density = 11829 kg/m3
uncorrected formation energy = 1.705 eV per atom
M_tot = 0.380 μB/atom

```
data_SrReSiOs2
_space_group_name_H-M_alt 'P 1'
_space_group_IT_number 1
_cell_length_a 4.397
_cell_length_b 4.397
_cell_length_c 4.955
_cell_angle_alpha 90.00
_cell_angle_beta 90.00
_cell_angle_gamma 90.00
loop_
_space_group_symop_operation_xyz
'x,y,z'
loop_
_atom_site_label
_atom_site_fract_x
_atom_site_fract_y
_atom_site_fract_z
_atom_site_occupancy
Re1 0.500 0.500 0.500 1
Si1 0.000 0.000 0.000 1
Os1 0.000 0.500 0.000 1
Os2 0.500 0.000 0.000 1
Sr1 0.000 0.000 0.500 1
```

---

Entry 6:
Entry from the Alexandria database: a relaxed ScIn2Rh crystal (PBEsol).

Properties
energy of formation = -0.4180 eV per atom
calculated volume = 73.9 Å³ per cell
theoretical density = 8479 kg/m3
M_tot = 0.000 μB/atom

```
data_ScIn2Rh
_space_group_name_H-M_alt 'P 1'
_space_group_IT_number 1
_cell_length_a 4.355
_cell_length_b 4.349
_cell_length_c 4.970
_cell_angle_alpha 115.95
_cell_angle_beta 115.99
_cell_angle_gamma 90.00
loop_
_space_group_symop_operation_xyz
'x,y,z'
loop_
_atom_site_label
_atom_site_fract_x
_atom_site_fract_y
_atom_site_fract_z
_atom_site_occupancy
In1 0.000 0.500 0.000 1
In2 0.750 0.750 0.500 1
Rh1 0.500 0.000 0.000 1
Sc1 0.250 0.250 0.500 1
```

---

Entry 7:
Entry from the Alexandria database: a relaxed LaNb3Cl crystal (PBEsol).

Properties
calculated volume = 119.1 Å³ per cell
theoretical density = 6319 kg/m3
uncorrected formation energy = 2.032 eV per atom
M_tot = 0.000 μB/atom

```
data_LaNb3Cl
_space_group_name_H-M_alt 'P 1'
_space_group_IT_number 1
_cell_length_a 4.919
_cell_length_b 4.919
_cell_length_c 4.919
_cell_angle_alpha 90.00
_cell_angle_beta 90.00
_cell_angle_gamma 90.00
loop_
_space_group_symop_operation_xyz
'x,y,z'
loop_
_atom_site_label
_atom_site_fract_x
_atom_site_fract_y
_atom_site_fract_z
_atom_site_occupancy
Nb1 0.000 0.500 0.000 1
Nb2 0.000 0.000 0.500 1
Nb3 0.500 0.000 0.000 1
Cl1 0.500 0.500 0.500 1
La1 0.000 0.000 0.000 1
```

---

Entry 8:
Entry from the Alexandria database: a relaxed BePb crystal (PBEsol).

Properties
energy of formation = 0.4673 eV per atom
calculated volume = 76.0 Å³ per cell
theoretical density = 9442 kg/m3
M_tot = 0.000 μB/atom

```
data_BePb
_space_group_name_H-M_alt 'P 1'
_space_group_IT_number 1
_cell_length_a 3.957
_cell_length_b 3.961
_cell_length_c 5.241
_cell_angle_alpha 67.79
_cell_angle_beta 90.00
_cell_angle_gamma 90.00
loop_
_space_group_symop_operation_xyz
'x,y,z'
loop_
_atom_site_label
_atom_site_fract_x
_atom_site_fract_y
_atom_site_fract_z
_atom_site_occupancy
Pb1 0.250 0.854 0.292 1
Pb2 0.750 0.146 0.708 1
Be1 0.250 0.554 0.893 1
Be2 0.750 0.446 0.107 1
```

---

Entry 9:
Entry from the Alexandria database: a relaxed FeTcBr2 crystal (PBEsol).

Properties
calculated volume = 74.3 Å³ per cell
theoretical density = 7006 kg/m3
polymorph energy (0 for the lowest one) = 577.1 meV per atom
uncorrected formation energy = 0.915 eV per atom
M_tot = 1.444 μB/atom

```
data_FeTcBr2
_space_group_name_H-M_alt 'P 1'
_space_group_IT_number 1
_cell_length_a 3.059
_cell_length_b 4.162
_cell_length_c 5.838
_cell_angle_alpha 90.00
_cell_angle_beta 90.00
_cell_angle_gamma 90.00
loop_
_space_group_symop_operation_xyz
'x,y,z'
loop_
_atom_site_label
_atom_site_fract_x
_atom_site_fract_y
_atom_site_fract_z
_atom_site_occupancy
Br1 0.000 0.000 0.000 1
Br2 0.500 0.000 0.500 1
Fe1 0.500 0.500 0.000 1
Tc1 0.000 0.500 0.500 1
```

---

Entry 10:
Entry from the Alexandria database: a relaxed Pr15Si10Ni7 crystal (PBEsol).

Properties
calculated volume = 1435.3 Å³ per cell
theoretical density = 6491 kg/m3
uncorrected formation energy = -0.637 eV per atom
M_tot = 0.000 μB/atom

```
data_Pr15Si10Ni7
_space_group_name_H-M_alt 'P 1'
_space_group_IT_number 1
_cell_length_a 4.329
_cell_length_b 19.567
_cell_length_c 19.567
_cell_angle_alpha 120.00
_cell_angle_beta 90.00
_cell_angle_gamma 90.00
loop_
_space_group_symop_operation_xyz
'x,y,z'
loop_
_atom_site_label
_atom_site_fract_x
_atom_site_fract_y
_atom_site_fract_z
_atom_site_occupancy
Pr1 0.250 0.581 0.082 1
Pr2 0.250 0.017 0.147 1
Pr3 0.750 0.322 0.355 1
Pr4 0.750 0.645 0.968 1
Pr5 0.750 0.290 0.534 1
Pr6 0.750 0.679 0.804 1
Pr7 0.750 0.499 0.581 1
Pr8 0.250 0.853 0.870 1
Pr9 0.750 0.147 0.130 1
Pr10 0.250 0.321 0.196 1
Pr11 0.250 0.968 0.322 1
Pr12 0.250 0.756 0.290 1
Pr13 0.750 0.870 0.017 1
Pr14 0.750 0.032 0.678 1
Pr15 0.750 0.419 0.918 1
Pr16 0.750 0.196 0.875 1
Pr17 0.250 0.875 0.679 1
Pr18 0.250 0.710 0.466 1
Pr19 0.250 0.501 0.419 1
Pr20 0.250 0.355 0.032 1
Pr21 0.750 0.082 0.501 1
Pr22 0.250 0.534 0.244 1
Pr23 0.750 0.244 0.710 1
Pr24 0.250 0.678 0.645 1
Pr25 0.750 0.125 0.321 1
Pr26 0.250 0.130 0.983 1
Pr27 0.250 0.804 0.125 1
Pr28 0.250 0.918 0.499 1
Pr29 0.750 0.466 0.756 1
Pr30 0.750 0.983 0.853 1
Si1 0.750 0.485 0.110 1
Si2 0.750 0.445 0.288 1
Si3 0.250 0.288 0.843 1
Si4 0.750 0.890 0.375 1
Si5 0.750 0.803 0.743 1
Si6 0.250 0.375 0.485 1
Si7 0.750 0.667 0.333 1
Si8 0.250 0.060 0.803 1
Si9 0.750 0.625 0.515 1
Si10 0.250 0.515 0.890 1
Si11 0.750 0.940 0.197 1
Si12 0.750 0.712 0.157 1
Si13 0.250 0.110 0.625 1
Si14 0.750 0.257 0.060 1
Si15 0.250 0.743 0.940 1
Si16 0.250 0.333 0.667 1
Si17 0.250 0.197 0.257 1
Si18 0.750 0.843 0.555 1
Si19 0.250 0.555 0.712 1
Si20 0.250 0.157 0.445 1
Ni1 0.750 0.620 0.199 1
Ni2 0.750 0.393 0.152 1
Ni3 0.250 0.241 0.393 1
Ni4 0.750 0.848 0.241 1
Ni5 0.750 0.579 0.380 1
Ni6 0.250 0.199 0.579 1
Ni7 0.750 0.801 0.421 1
Ni8 0.250 0.380 0.801 1
Ni9 0.250 0.421 0.620 1
Ni10 0.250 0.607 0.848 1
Ni11 0.750 0.759 0.607 1
Ni12 0.000 0.000 0.000 1
Ni13 0.500 0.000 0.000 1
Ni14 0.250 0.152 0.759 1
```